Entry from Alexandria via LeMat-Bulk: a relaxed structure of BeRhBr (PBE).

- polymorph energy (0 for the lowest one) (meV per atom) = 198
- Fermi-level density of states (states/eV per atom) = 0.194
- space group = P1 (1)
- E_form (uncorrected) (eV/atom) = -0.23
- total energy (eV/atom) = -4.481
- theoretical density (g/cm3) = 5.4

abc: 3.165 4.570 8.915
angles: 76.26 88.93 69.83
Atoms (fractional coordinates):
Be 0.000 0.000 0.000
Be 0.201 0.578 0.203
Rh 0.462 0.058 0.174
Rh 0.740 0.522 0.001
Br 0.086 0.853 0.782
Br 0.694 0.568 0.398